Entry 1:
VASP calculation (PBE) on a relaxed structure of BaBeW.

Geometry as POSCAR:
```
BaBeW
1.0
4.8871 0.0000 0.0000
-2.4435 4.2323 0.0000
0.0000 0.0000 3.1059
Be Ba W
1 1 1
Direct
0.6667 0.3333 0.4999
0.0000 0.0000 0.0000
0.3333 0.6667 0.5000
```

Output
For the density of states at the Fermi level, the calculation gives 3.529 states/eV per cell. The value obtained for the formation energy is 1498.7 meV/atom. As for the space group: P-6m2, No. 187. Its calculated volume is 21.41 Å³ per atom.

***

Entry 2:
VASP calculation (PBE) on a relaxed structure of BaY2BeW.

Geometry as POSCAR:
```
BaY2BeW
1.0
5.3109 0.0000 0.0000
0.0000 4.7186 0.0000
0.0000 0.0000 5.3109
Y Be Ba W
2 1 1 1
Direct
0.0000 0.0000 0.5000
0.5000 0.0000 0.0000
0.0000 0.0000 0.0000
0.5000 0.5000 0.5000
0.0000 0.5000 0.0000
```

Output
For the density of states at the Fermi level, the calculation gives 6.188 states/eV per cell. The value obtained for the formation energy is 732.1 meV/atom. As for the space group: P4/mmm, No. 123. Its calculated volume is 26.62 Å³ per atom.